This record from the Alexandria database describes a relaxed CuTc2Pb crystal. The functional is PBE-GGA.

abc: 3.934 3.934 4.255
angles: 90.00 90.00 90.00
Positions (direct):
Cu: 0.000 0.000 0.000
Tc: 0.000 0.500 0.500
Tc: 0.500 0.000 0.500
Pb: 0.500 0.500 0.000

space-group type: P4/mmm (123)
energy of formation from the pure elements: 0.683 eV per atom
total magnetization: 2.18 μB per formula unit
uncorrected energy: -6.451 eV/atom